DFT (PBE) results for LaAg2Rh after structural relaxation. Values from VASP.

* calculated volume: 21.27 Å³ per atom
* ΔH_f (0 K): -195 meV/atom
* polymorph energy (0 for the lowest one): 183 meV per atom
* spin magnetization: 0.00 μB per cell

```
&SYSTEM
  ibrav = 0, nat = 4, ntyp = 3
/
ATOMIC_SPECIES
La 138.91 La.upf
Ag 107.87 Ag.upf
Rh 102.91 Rh.upf
CELL_PARAMETERS angstrom
3.377 0.000 0.000
0.000 4.944 0.000
-1.578 0.000 5.096
ATOMIC_POSITIONS crystal
La 0.000 0.000 0.000
Ag 0.345 0.500 0.721
Ag 0.655 0.500 0.279
Rh 0.500 0.000 0.500
```